Version a
# NaSbAsSe2

An optimized crystal structure of NaSbAsSe2 (GGA-PBE, the Alexandria database).

Unit cell a=5.451 b=5.451 c=5.333 alpha=90.00 beta=90.00 gamma=90.00
Element x y z (fractional)
Na1 0.000 0.000 0.000
Sb1 0.500 0.500 0.500
As1 0.500 0.500 0.000
Se1 0.000 0.500 0.500
Se2 0.500 0.000 0.500

Values from the calculation:
Volume: 31.7 A^3/atom

***

Version b
# NaSbAsSe2

An optimized crystal structure of NaSbAsSe2 (GGA-PBE, the Alexandria database).

Unit cell a=5.082 b=5.082 c=5.045 alpha=90.00 beta=90.00 gamma=90.00
Element x y z (fractional)
Na1 0.000 0.000 0.000
Sb1 0.500 0.500 0.500
As1 0.000 0.000 0.500
Se1 0.000 0.500 0.000
Se2 0.500 0.000 0.000

Values from the calculation:
Volume: 26.1 A^3/atom

***

Sorted by energy, starting with the most stable: version a, version b.